This record from Alexandria describes NdB6Rh12 after structural relaxation. The functional is PBE-GGA.

Computed properties:
ΔE_f	-0.38	eV per atom
calculated volume	12.86	A^3/atom
uncorrected energy	-7.385	eV/atom
DOS(E_F)	19.0	states/eV per cell

Unit cell a=6.5016 b=6.5016 c=6.5016 alpha=104.17 beta=104.17 gamma=104.17
Last column: nearest neighbours and their distance in Å.
Fractional positions:
1 Nd 0.0000 0.0000 0.0000  18 Rh 3.31-3.53, 6 B 3.36
2 B 0.6687 0.2334 0.2334  7 Rh 2.22-2.32
3 B 0.2334 0.2334 0.6687  7 Rh 2.22-2.32
4 B 0.2334 0.6687 0.2334  7 Rh 2.22-2.32
5 B 0.7666 0.7666 0.3313  7 Rh 2.22-2.32
6 B 0.3313 0.7666 0.7666  7 Rh 2.22-2.32
7 B 0.7666 0.3313 0.7666  7 Rh 2.22-2.32
8 Rh 0.8666 0.1334 0.5000  4 B 2.22-2.23
9 Rh 0.8140 0.5497 0.5497  3 B 2.25-2.32
10 Rh 0.5497 0.5497 0.8140  3 B 2.25-2.32
11 Rh 0.4503 0.1860 0.4503  3 B 2.25-2.32
12 Rh 0.4503 0.4503 0.1860  3 B 2.25-2.32
13 Rh 0.1860 0.4503 0.4503  3 B 2.25-2.32
14 Rh 0.1334 0.5000 0.8666  4 B 2.22-2.23
15 Rh 0.5000 0.8666 0.1334  4 B 2.22-2.23
16 Rh 0.1334 0.8666 0.5000  4 B 2.22-2.23
17 Rh 0.8666 0.5000 0.1334  4 B 2.22-2.23
18 Rh 0.5000 0.1334 0.8666  4 B 2.22-2.23
19 Rh 0.5497 0.8140 0.5497  3 B 2.25-2.32